No. 1
First-principles (GGA-PBE) data for a relaxed Ga2CuAg crystal, as listed in the Alexandria database.

Structure (POSCAR):
```
Ga2CuAg
1.0
5.724 0.000 0.000
0.000 8.516 0.000
0.000 0.000 5.310
Ga Ag Cu
8 4 4
direct
0.868 0.489 0.223
0.868 0.011 0.223
0.632 0.011 0.723
0.632 0.489 0.723
0.368 0.989 0.277
0.132 0.511 0.777
0.132 0.989 0.777
0.368 0.511 0.277
0.876 0.750 0.565
0.376 0.250 0.935
0.624 0.750 0.065
0.124 0.250 0.435
0.872 0.250 0.894
0.628 0.250 0.394
0.372 0.750 0.606
0.128 0.750 0.106
```

Energy above the lowest structure with this stoichiometry = 0.023 eV per atom
Total magnetization = 0.00 μB per cell
DFT total energy = -3.23 eV/atom
D(E_F) = 5.5 states/eV/cell
E_form = 0.017 eV per atom

---

No. 2
First-principles (GGA-PBE) data for a relaxed Ga6Cu6Ag crystal, as listed in the Alexandria database.

Structure (POSCAR):
```
Ga6Cu6Ag
1.0
4.797 0.000 1.917
2.325 6.066 1.142
0.146 0.053 6.594
Cu Ga Ag
6 6 1
direct
0.500 0.246 0.754
0.500 0.500 0.000
0.500 0.000 0.500
0.000 0.000 0.500
0.500 0.754 0.246
0.000 0.500 0.000
0.340 0.660 0.660
0.000 0.345 0.655
0.660 0.340 0.340
0.675 0.825 0.825
0.325 0.175 0.175
0.000 0.655 0.345
0.000 0.000 0.000
```

Total magnetization = 0.00 μB per cell
DFT total energy = -3.59 eV/atom
D(E_F) = 3.3 states/eV/cell
E_form = -0.080 eV per atom

---

No. 3
First-principles (GGA-PBE) data for a relaxed GaCu6Ag crystal, as listed in the Alexandria database.

Structure (POSCAR):
```
GaCu6Ag
1.0
-3.667 -0.732 -2.189
0.666 -5.202 0.623
-2.700 2.768 3.598
Cu Ga Ag
6 1 1
direct
0.000 0.589 0.928
0.000 0.072 0.411
0.500 0.915 0.581
0.000 0.589 0.411
0.500 0.915 0.085
0.500 0.419 0.085
0.000 0.083 0.917
0.500 0.417 0.583
```

Total magnetization = 0.00 μB per cell
DFT total energy = -3.83 eV/atom
D(E_F) = 0.9 states/eV/cell
E_form = -0.025 eV per atom